Entry 1:
A plane-wave DFT calculation with SCAN was carried out for a crystal of CsBaZr2Mn relaxed with PBEsol.

Unit cell a=4.852 b=4.852 c=6.551 alpha=90.00 beta=90.00 gamma=90.00
Element x y z (fractional)
Cs: 0.500 0.500 0.500
Mn: 0.000 0.000 0.000
Ba: 0.000 0.000 0.500
Zr: 0.000 0.500 0.000
Zr: 0.500 0.000 0.000

## Properties
For the uncorrected energy, the calculation gives -30.6797 eV per atom. The calculated formation energy comes out at 3.61 eV/f.u.



Entry 2:
A plane-wave DFT calculation with SCAN was carried out for a crystal of Cd2CuPb relaxed with PBEsol.

Unit cell a=3.006 b=4.465 c=6.999 alpha=108.60 beta=102.40 gamma=90.00
Element x y z (fractional)
Pb: 0.188 0.688 0.376
Cu: 0.498 0.498 0.996
Cd: 0.991 0.991 0.981
Cd: 0.823 0.323 0.647

## Properties
For the uncorrected energy, the calculation gives -37.8614 eV per atom. The calculated formation energy comes out at 0.36 eV/f.u.



Entry 3:
A plane-wave DFT calculation with SCAN was carried out for a crystal of Ce2PrO6 relaxed with PBEsol.

Unit cell a=3.871 b=5.484 c=6.687 alpha=114.21 beta=106.82 gamma=90.00
Element x y z (fractional)
Ce: 0.667 0.667 0.334
Ce: 0.333 0.333 0.666
Pr: 0.000 0.000 0.000
O: 0.828 0.571 0.656
O: 0.500 0.264 0.000
O: 0.172 0.915 0.344
O: 0.828 0.085 0.656
O: 0.500 0.736 0.000
O: 0.172 0.429 0.344

## Properties
As for the formation energy from raw total energies: -30.95 eV/f.u. For the uncorrected energy, the calculation gives -22.3101 eV per atom.



Entry 4:
A plane-wave DFT calculation with SCAN was carried out for a crystal of YNbPO2 relaxed with PBEsol.

Unit cell a=3.970 b=3.970 c=5.055 alpha=90.00 beta=90.00 gamma=90.00
Element x y z (fractional)
Y: 0.500 0.500 0.500
P: 0.000 0.000 0.500
Nb: 0.000 0.000 0.000
O: 0.000 0.500 0.000
O: 0.500 0.000 0.000

## Properties
As for the formation energy from raw total energies: -10.35 eV/f.u. For the uncorrected energy, the calculation gives -18.8371 eV per atom.



Entry 5:
A plane-wave DFT calculation with SCAN was carried out for a crystal of GeIr3C relaxed with PBEsol.

Unit cell a=4.480 b=4.480 c=4.480 alpha=90.00 beta=90.00 gamma=90.00
Element x y z (fractional)
Ge: 0.000 0.000 0.000
Ir: 0.000 0.500 0.000
Ir: 0.000 0.000 0.500
Ir: 0.500 0.000 0.000
C: 0.500 0.500 0.500

## Properties
For the uncorrected energy, the calculation gives -45.7800 eV per atom. The calculated formation energy comes out at 13.58 eV/f.u.



Entry 6:
A plane-wave DFT calculation with SCAN was carried out for a crystal of TcIr2Rh relaxed with PBEsol.

Unit cell a=3.789 b=3.818 c=3.818 alpha=90.00 beta=90.00 gamma=90.00
Element x y z (fractional)
Ir: 0.000 0.000 0.500
Ir: 0.000 0.500 0.000
Rh: 0.500 0.500 0.500
Tc: 0.500 0.000 0.000

## Properties
For the distance to the lowest polymorph of the same formula, the calculation gives 30 meV per atom. For the uncorrected energy, the calculation gives -52.9054 eV per atom. The calculated formation energy comes out at -0.59 eV/f.u.



Entry 7:
A plane-wave DFT calculation with SCAN was carried out for a crystal of SbMo2Br relaxed with PBEsol.

Unit cell a=3.207 b=4.600 c=4.600 alpha=90.00 beta=90.00 gamma=90.00
Element x y z (fractional)
Sb: 0.500 0.500 0.500
Mo: 0.000 0.000 0.500
Mo: 0.000 0.500 0.000
Br: 0.500 0.000 0.000

## Properties
As for the formation energy from raw total energies: 3.12 eV/f.u. For the distance to the lowest polymorph of the same formula, the calculation gives 0 meV per atom. For the uncorrected energy, the calculation gives -30.8416 eV per atom.



Entry 8:
A plane-wave DFT calculation with SCAN was carried out for a crystal of CaCr3Ag relaxed with PBEsol.

Unit cell a=4.983 b=4.983 c=4.983 alpha=90.00 beta=90.00 gamma=90.00
Element x y z (fractional)
Cr: 0.000 0.500 0.000
Cr: 0.000 0.000 0.500
Cr: 0.500 0.000 0.000
Ca: 0.500 0.500 0.500
Ag: 0.000 0.000 0.000

## Properties
For the uncorrected energy, the calculation gives -18.3931 eV per atom. The calculated formation energy comes out at 4.22 eV/f.u.



Entry 9:
A plane-wave DFT calculation with SCAN was carried out for a crystal of MgTlRe relaxed with PBEsol.

Unit cell a=3.355 b=3.355 c=5.343 alpha=108.30 beta=108.30 gamma=90.00
Element x y z (fractional)
Mg: 0.012 0.012 0.024
Re: 0.663 0.663 0.325
Tl: 0.326 0.326 0.651

## Properties
For the distance to the lowest polymorph of the same formula, the calculation gives 100 meV per atom. For the uncorrected energy, the calculation gives -48.6936 eV per atom. The calculated formation energy comes out at 2.35 eV/f.u.



Entry 10:
A plane-wave DFT calculation with SCAN was carried out for a crystal of MoOsPt relaxed with PBEsol.

Unit cell a=2.691 b=3.942 c=4.776 alpha=114.37 beta=106.36 gamma=90.00
Element x y z (fractional)
Mo: 0.004 0.004 0.009
Os: 0.663 0.663 0.327
Pt: 0.332 0.332 0.664

## Properties
For the distance to the lowest polymorph of the same formula, the calculation gives 0 meV per atom. For the uncorrected energy, the calculation gives -59.0887 eV per atom. The calculated formation energy comes out at -0.31 eV/f.u.



Entry 11:
A plane-wave DFT calculation with SCAN was carried out for a crystal of Nd4S3Br6 relaxed with PBEsol.

Unit cell a=6.800 b=7.128 c=14.888 alpha=94.57 beta=103.20 gamma=90.00
Element x y z (fractional)
Nd: 0.364 0.982 0.113
Nd: 0.135 0.905 0.658
Nd: 0.865 0.095 0.342
Nd: 0.636 0.018 0.887
Nd: 0.477 0.595 0.342
Nd: 0.749 0.482 0.113
Nd: 0.523 0.405 0.658
Nd: 0.251 0.518 0.887
S: 0.671 0.790 0.233
S: 0.555 0.750 0.000
S: 0.438 0.710 0.767
S: 0.329 0.210 0.767
S: 0.562 0.290 0.233
S: 0.445 0.250 0.000
Br: 0.939 0.105 0.102
Br: 0.061 0.895 0.898
Br: 0.059 0.447 0.310
Br: 0.347 0.685 0.528
Br: 0.749 0.053 0.690
Br: 0.941 0.553 0.690
Br: 0.836 0.395 0.898
Br: 0.164 0.605 0.102
Br: 0.251 0.947 0.310
Br: 0.818 0.815 0.472
Br: 0.182 0.185 0.528
Br: 0.653 0.315 0.472

## Properties
As for the formation energy from raw total energies: -28.99 eV/f.u. For the uncorrected energy, the calculation gives -26.8430 eV per atom.



Entry 12:
A plane-wave DFT calculation with SCAN was carried out for a crystal of Be2FeAu relaxed with PBEsol.

Unit cell a=2.773 b=2.773 c=5.445 alpha=90.00 beta=90.00 gamma=90.00
Element x y z (fractional)
Be: 0.000 0.000 0.798
Be: 0.000 0.000 0.202
Au: 0.500 0.500 0.500
Fe: 0.500 0.500 0.000

## Properties
For the uncorrected energy, the calculation gives -24.1531 eV per atom. The calculated formation energy comes out at -0.62 eV/f.u.



Entry 13:
A plane-wave DFT calculation with SCAN was carried out for a crystal of InPdI2N relaxed with PBEsol.

Unit cell a=3.982 b=5.830 c=5.830 alpha=90.00 beta=90.00 gamma=90.00
Element x y z (fractional)
I: 0.000 0.000 0.500
I: 0.000 0.500 0.000
N: 0.500 0.000 0.000
Pd: 0.500 0.500 0.500
In: 0.000 0.000 0.000

## Properties
As for the formation energy from raw total energies: 4.26 eV/f.u. For the uncorrected energy, the calculation gives -28.9348 eV per atom.



Entry 14:
A plane-wave DFT calculation with SCAN was carried out for a crystal of IrSe3 relaxed with PBEsol.

Unit cell a=2.829 b=3.100 c=8.877 alpha=90.00 beta=90.00 gamma=90.00
Element x y z (fractional)
Ir: 0.000 0.000 0.000
Se: 0.500 0.500 0.819
Se: 0.000 0.000 0.500
Se: 0.500 0.500 0.181

## Properties
As for the formation energy from raw total energies: 1.65 eV/f.u. For the distance to the lowest polymorph of the same formula, the calculation gives 300 meV per atom. For the uncorrected energy, the calculation gives -32.4220 eV per atom.



Entry 15:
A plane-wave DFT calculation with SCAN was carried out for a crystal of CoNiI3 relaxed with PBEsol.

Unit cell a=5.125 b=5.125 c=5.125 alpha=90.00 beta=90.00 gamma=90.00
Element x y z (fractional)
I: 0.000 0.500 0.000
I: 0.000 0.000 0.500
I: 0.500 0.000 0.000
Ni: 0.500 0.500 0.500
Co: 0.000 0.000 0.000

## Properties
As for the formation energy from raw total energies: 3.90 eV/f.u. For the uncorrected energy, the calculation gives -27.9596 eV per atom.



Entry 16:
A plane-wave DFT calculation with SCAN was carried out for a crystal of Tc3Ru relaxed with PBEsol.

Unit cell a=3.807 b=3.807 c=4.671 alpha=114.05 beta=114.05 gamma=90.00
Element x y z (fractional)
Ru: 0.000 0.000 0.000
Tc: 0.750 0.250 0.500
Tc: 0.500 0.500 0.000
Tc: 0.250 0.750 0.500

## Properties
For the distance to the lowest polymorph of the same formula, the calculation gives 104 meV per atom. For the uncorrected energy, the calculation gives -34.9541 eV per atom. The calculated formation energy comes out at 0.19 eV/f.u.



Entry 17:
A plane-wave DFT calculation with SCAN was carried out for a crystal of AgRu3I relaxed with PBEsol.

Unit cell a=4.730 b=4.730 c=4.730 alpha=90.00 beta=90.00 gamma=90.00
Element x y z (fractional)
I: 0.000 0.000 0.000
Ru: 0.000 0.500 0.000
Ru: 0.000 0.000 0.500
Ru: 0.500 0.000 0.000
Ag: 0.500 0.500 0.500

## Properties
As for the formation energy from raw total energies: 9.17 eV/f.u. For the uncorrected energy, the calculation gives -32.6842 eV per atom.



Entry 18:
A plane-wave DFT calculation with SCAN was carried out for a crystal of CeSCl relaxed with PBEsol.

Unit cell a=6.741 b=6.860 c=13.274 alpha=90.00 beta=90.00 gamma=90.00
Element x y z (fractional)
Ce: 0.744 0.039 0.902
Ce: 0.256 0.961 0.098
Ce: 0.756 0.539 0.098
Ce: 0.256 0.461 0.402
Ce: 0.244 0.461 0.902
Ce: 0.744 0.539 0.598
Ce: 0.244 0.961 0.598
Ce: 0.756 0.039 0.402
S: 0.001 0.257 0.527
S: 0.999 0.743 0.473
S: 0.499 0.757 0.473
S: 0.999 0.243 0.027
S: 0.501 0.243 0.527
S: 0.001 0.757 0.973
S: 0.501 0.743 0.973
S: 0.499 0.257 0.027
Cl: 0.875 0.375 0.787
Cl: 0.125 0.625 0.213
Cl: 0.625 0.875 0.213
Cl: 0.125 0.125 0.287
Cl: 0.375 0.125 0.787
Cl: 0.875 0.875 0.713
Cl: 0.375 0.625 0.713
Cl: 0.625 0.375 0.287

## Properties
As for the formation energy from raw total energies: -7.31 eV/f.u. For the uncorrected energy, the calculation gives -23.1599 eV per atom.



Entry 19:
A plane-wave DFT calculation with SCAN was carried out for a crystal of TaBeOs4 relaxed with PBEsol.

Unit cell a=5.065 b=5.065 c=5.065 alpha=60.00 beta=60.00 gamma=60.00
Element x y z (fractional)
Be: 0.000 0.000 0.000
Os: 0.374 0.374 0.374
Os: 0.374 0.374 0.877
Os: 0.877 0.374 0.374
Os: 0.374 0.877 0.374
Ta: 0.750 0.750 0.750

## Properties
For the uncorrected energy, the calculation gives -59.3915 eV per atom. The calculated formation energy comes out at 2.11 eV/f.u.



Entry 20:
A plane-wave DFT calculation with SCAN was carried out for a crystal of HgOF2 relaxed with PBEsol.

Unit cell a=3.751 b=3.751 c=7.807 alpha=103.90 beta=103.90 gamma=90.00
Element x y z (fractional)
Hg: 0.250 0.750 0.500
Hg: 0.000 0.000 0.000
O: 0.750 0.250 0.500
O: 0.500 0.500 0.000
F: 0.362 0.875 0.250
F: 0.888 0.375 0.250
F: 0.125 0.112 0.750
F: 0.625 0.638 0.750

## Properties
As for the formation energy from raw total energies: -1.06 eV/f.u. For the uncorrected energy, the calculation gives -20.6338 eV per atom.



Entry 21:
A plane-wave DFT calculation with SCAN was carried out for a crystal of LiY2Cr relaxed with PBEsol.

Unit cell a=3.422 b=3.422 c=7.922 alpha=90.00 beta=90.00 gamma=90.00
Element x y z (fractional)
Cr: 0.500 0.500 0.500
Li: 0.500 0.500 0.000
Y: 0.000 0.000 0.285
Y: 0.000 0.000 0.715

## Properties
For the uncorrected energy, the calculation gives -19.0097 eV per atom. The calculated formation energy comes out at 0.42 eV/f.u.



Entry 22:
A plane-wave DFT calculation with SCAN was carried out for a crystal of TaCd relaxed with PBEsol.

Unit cell a=4.288 b=4.288 c=4.288 alpha=60.00 beta=60.00 gamma=60.00
Element x y z (fractional)
Ta: 0.750 0.750 0.750
Cd: 0.000 0.000 0.000

## Properties
For the uncorrected energy, the calculation gives -46.1156 eV per atom. The calculated formation energy comes out at 4.77 eV/f.u.



Entry 23:
A plane-wave DFT calculation with SCAN was carried out for a crystal of YAl3 relaxed with PBEsol.

Unit cell a=3.165 b=3.165 c=9.284 alpha=90.00 beta=90.00 gamma=120.00
Element x y z (fractional)
Y: 0.333 0.667 0.500
Al: 0.000 0.000 0.228
Al: 0.000 0.000 0.772
Al: 0.333 0.667 0.000

## Properties
For the uncorrected energy, the calculation gives -12.7498 eV per atom. The calculated formation energy comes out at 0.10 eV/f.u.



Entry 24:
A plane-wave DFT calculation with SCAN was carried out for a crystal of Li2ReOs relaxed with PBEsol.

Unit cell a=3.155 b=3.155 c=4.948 alpha=90.00 beta=90.00 gamma=90.00
Element x y z (fractional)
Li: 0.000 0.000 0.760
Li: 0.000 0.000 0.240
Os: 0.500 0.500 0.000
Re: 0.500 0.500 0.500

## Properties
For the distance to the lowest polymorph of the same formula, the calculation gives 544 meV per atom. For the uncorrected energy, the calculation gives -36.2697 eV per atom. The calculated formation energy comes out at 2.68 eV/f.u.



Entry 25:
A plane-wave DFT calculation with SCAN was carried out for a crystal of SrRh2Au relaxed with PBEsol.

Unit cell a=4.688 b=4.688 c=4.688 alpha=60.00 beta=60.00 gamma=60.00
Element x y z (fractional)
Au: 0.500 0.500 0.500
Rh: 0.000 0.000 0.000
Rh: 0.250 0.250 0.250
Sr: 0.750 0.750 0.750

## Properties
For the uncorrected energy, the calculation gives -39.6076 eV per atom. The calculated formation energy comes out at 0.54 eV/f.u.



Entry 26:
A plane-wave DFT calculation with SCAN was carried out for a crystal of BaOsW2 relaxed with PBEsol.

Unit cell a=2.880 b=2.880 c=9.827 alpha=90.00 beta=90.00 gamma=111.07
Element x y z (fractional)
Ba: 0.000 0.000 0.491
Os: 0.500 0.500 0.209
W: 0.000 0.000 0.005
W: 0.500 0.500 0.795

## Properties
For the uncorrected energy, the calculation gives -61.6721 eV per atom. The calculated formation energy comes out at 4.12 eV/f.u.



Entry 27:
A plane-wave DFT calculation with SCAN was carried out for a crystal of BaIn2Tc relaxed with PBEsol.

Unit cell a=4.451 b=4.451 c=5.088 alpha=90.00 beta=90.00 gamma=90.00
Element x y z (fractional)
Ba: 0.000 0.000 0.500
In: 0.000 0.500 0.000
In: 0.500 0.000 0.000
Tc: 0.500 0.500 0.500

## Properties
For the uncorrected energy, the calculation gives -34.7723 eV per atom. The calculated formation energy comes out at 2.29 eV/f.u.



| no. | calculated volume (Å³ per cell) |
| --- | --- |
| 1 | 154.19 |
| 2 | 86.72 |
| 3 | 122.77 |
| 4 | 79.68 |
| 5 | 89.90 |
| 6 | 55.24 |
| 7 | 67.86 |
| 8 | 123.76 |
| 9 | 53.88 |
| 10 | 43.89 |
| 11 | 700.19 |
| 12 | 41.86 |
| 13 | 135.35 |
| 14 | 77.84 |
| 15 | 134.60 |
| 16 | 55.32 |
| 17 | 105.84 |
| 18 | 613.82 |
| 19 | 91.89 |
| 20 | 103.33 |
| 21 | 92.76 |
| 22 | 55.77 |
| 23 | 80.51 |
| 24 | 49.23 |
| 25 | 72.85 |
| 26 | 76.08 |
| 27 | 100.80 |